# PBE-GGA Li2BS2, relaxed
# * formation energy (no corrections): -0.119 eV per atom
# * calculated density: 2.2 Mg/m³
# * E above lowest polymorph: 419 meV per atom
data_Li2BS2
_chemical_formula_sum 'Li4 B2 S4'
_space_group_name_H-M_alt 'P 4/m b m'
_space_group_IT_number 127
_space_group_name_Hall '-P 4 2ab'
_cell_length_a 6.073
_cell_length_b 6.073
_cell_length_c 3.661
_cell_angle_alpha 90.00
_cell_angle_beta 90.00
_cell_angle_gamma 90.00
loop_
_atom_site_label
_atom_site_fract_x
_atom_site_fract_y
_atom_site_fract_z
_atom_site_occupancy
Li1 0.141 0.359 0.000 1
B1 0.000 0.000 0.500 1
S1 0.189 0.689 0.500 1